Computed, not measured: an optimized crystal structure of TbCdIn3 at the GGA-PBE level of DFT.

As for the energy of formation from the pure elements: -52 meV per atom. The value obtained for the total moment is 0.00 μB/atom. For the final energy, the calculation gives -0.206 Ry/atom. The density of states at the Fermi level is 11.42 states/eV/cell.

```
data_TbCdIn3
_symmetry_space_group_name_H-M 'C m c m'
_symmetry_Int_Tables_number 63
_symmetry_space_group_name_Hall '-C 2c 2'
_cell_length_a 9.424
_cell_length_b 11.164
_cell_length_c 5.669
_cell_angle_alpha 90.00
_cell_angle_beta 90.00
_cell_angle_gamma 90.00
loop_
_atom_site_label
_atom_site_type_symbol
_atom_site_fract_x
_atom_site_fract_y
_atom_site_fract_z
Tb1 Tb 0.000 0.235 0.250
Cd1 Cd 0.000 0.053 0.750
In1 In 0.000 0.500 0.000
In2 In 0.172 0.300 0.750
```